Record 1
VASP calculation (GGA-PBE) on an optimized crystal structure of Ta2AgMo.

Computed properties:
**ΔE_f**: 0.1569 eV per atom
**Energy relative to the lowest polymorph listed for this composition**: 0.26 eV per formula unit

a b c (Å): 3.292 4.539 9.363
angles (deg): 90.00 90.00 90.00
Element x y z (fractional)
Ta  0.000  0.000  0.000
Ta  0.000  0.500  0.253
Ta  0.500  0.000  0.253
Ta  0.500  0.500  0.000
Ag  0.000  0.500  0.743
Ag  0.500  0.000  0.743
Mo  0.000  0.000  0.490
Mo  0.500  0.500  0.490

=====

Record 2
VASP calculation (GGA-PBE) on an optimized crystal structure of Cs2KTe3.

Computed properties:
**Uncorrected formation energy**: -488 kJ/mol of formula units

a b c (Å): 10.421 10.421 6.176
angles (deg): 90.00 90.00 63.23
Element x y z (fractional)
Cs  0.004  0.662  0.750
Cs  0.338  0.996  0.750
Cs  0.662  0.004  0.250
Cs  0.996  0.338  0.250
K  0.367  0.633  0.250
K  0.633  0.367  0.750
Te  0.042  0.958  0.250
Te  0.339  0.339  0.000
Te  0.339  0.339  0.500
Te  0.661  0.661  0.000
Te  0.661  0.661  0.500
Te  0.958  0.042  0.750

=====

Record 3
VASP calculation (GGA-PBE) on an optimized crystal structure of Sr2NdYSe4.

Computed properties:
**Uncorrected formation energy**: -1469 kJ/mol of formula units

a b c (Å): 7.363 4.251 7.529
angles (deg): 90.00 109.01 90.00
Element x y z (fractional)
Sr  0.000  0.000  0.000
Sr  0.500  0.500  0.000
Nd  0.000  0.500  0.500
Y  0.500  0.000  0.500
Se  0.252  0.000  0.738
Se  0.261  0.500  0.266
Se  0.739  0.500  0.734
Se  0.748  0.000  0.262